No. 1
DFT (GGA-PBE) results for crystalline RbTb2Te4Au at its relaxed geometry.

Output
* crystal system: orthorhombic
* uncorrected energy: -4.385 eV per atom

Structure (CIF):
```
data_RbTb2Te4Au
_symmetry_space_group_name_H-M 'C m c m'
_symmetry_Int_Tables_number 63
_symmetry_space_group_name_Hall '-C 2c 2'
_cell_length_a 4.457
_cell_length_b 15.394
_cell_length_c 15.796
_cell_angle_alpha 90.00
_cell_angle_beta 90.00
_cell_angle_gamma 90.00
loop_
_atom_site_label
_atom_site_type_symbol
_atom_site_fract_x
_atom_site_fract_y
_atom_site_fract_z
_atom_site_occupancy
Rb1 Rb 0.000 0.127 0.250 1
Tb1 Tb 0.000 0.370 0.071 1
Te1 Te 0.000 0.000 0.000 1
Te2 Te 0.000 0.263 0.604 1
Te3 Te 0.000 0.449 0.250 1
Au1 Au 0.000 0.157 0.750 1
```

No. 2
DFT (GGA-PBE) results for crystalline RbTcAu2 at its relaxed geometry.

Output
* crystal system: tetragonal
* ΔE to the lowest computed polymorph: 0 meV/atom
* uncorrected energy: -3.770 eV per atom

Structure (CIF):
```
data_RbTcAu2
_symmetry_space_group_name_H-M 'I 41/a m d'
_symmetry_Int_Tables_number 141
_cell_length_a 5.468
_cell_length_b 5.468
_cell_length_c 18.325
_cell_angle_alpha 90.00
_cell_angle_beta 90.00
_cell_angle_gamma 90.00
loop_
_symmetry_equiv_pos_as_xyz
'x,y,z'
'-x,-y,-z'
'-y+1/4,x+3/4,z+1/4'
'y+1/4,-x+3/4,-z+1/4'
'-x+1/2,-y,z+1/2'
'x+1/2,y,-z+1/2'
'y+1/4,-x+1/4,z+3/4'
'-y+1/4,x+1/4,-z+3/4'
'x,-y,-z'
'-x,y,z'
'-y+1/4,-x+1/4,-z+3/4'
'y+1/4,x+1/4,z+3/4'
'-x+1/2,y,-z+1/2'
'x+1/2,-y,z+1/2'
'y+1/4,x+3/4,-z+1/4'
'-y+1/4,-x+3/4,z+1/4'
'x+1/2,y+1/2,z+1/2'
'-x+1/2,-y+1/2,-z+1/2'
'-y+3/4,x+1/4,z+3/4'
'y+3/4,-x+1/4,-z+3/4'
'-x,-y+1/2,z'
'x,y+1/2,-z'
'y+3/4,-x+3/4,z+1/4'
'-y+3/4,x+3/4,-z+1/4'
'x+1/2,-y+1/2,-z+1/2'
'-x+1/2,y+1/2,z+1/2'
'-y+3/4,-x+3/4,-z+1/4'
'y+3/4,x+3/4,z+1/4'
'-x,y+1/2,-z'
'x,-y+1/2,z'
'y+3/4,x+1/4,-z+3/4'
'-y+3/4,-x+1/4,z+3/4'
loop_
_atom_site_label
_atom_site_type_symbol
_atom_site_fract_x
_atom_site_fract_y
_atom_site_fract_z
_atom_site_occupancy
Rb1 Rb 0.000 0.250 0.375 1
Tc1 Tc 0.000 0.250 0.875 1
Au1 Au 0.000 0.000 0.000 1
```

No. 3
DFT (GGA-PBE) results for crystalline RbTcAu2 at its relaxed geometry.

Output
* crystal system: cubic
* ΔE to the lowest computed polymorph: 231 meV/atom
* uncorrected energy: -3.539 eV per atom

Structure (CIF):
```
data_RbTcAu2
_symmetry_space_group_name_H-M 'F m -3 m'
_symmetry_Int_Tables_number 225
_symmetry_space_group_name_Hall '-F 4 2 3'
_cell_length_a 7.235
_cell_length_b 7.235
_cell_length_c 7.235
_cell_angle_alpha 90.00
_cell_angle_beta 90.00
_cell_angle_gamma 90.00
loop_
_atom_site_label
_atom_site_type_symbol
_atom_site_fract_x
_atom_site_fract_y
_atom_site_fract_z
_atom_site_occupancy
Rb1 Rb 0.000 0.000 0.000 1
Tc1 Tc 0.000 0.000 0.500 1
Au1 Au 0.250 0.250 0.250 1
```

No. 4
DFT (GGA-PBE) results for crystalline Rb3TcAu at its relaxed geometry.

Output
* crystal system: cubic
* uncorrected energy: -2.236 eV per atom

Structure (CIF):
```
data_Rb3TcAu
_symmetry_space_group_name_H-M 'P m -3 m'
_symmetry_Int_Tables_number 221
_symmetry_space_group_name_Hall '-P 4 2 3'
_cell_length_a 6.499
_cell_length_b 6.499
_cell_length_c 6.499
_cell_angle_alpha 90.00
_cell_angle_beta 90.00
_cell_angle_gamma 90.00
loop_
_atom_site_label
_atom_site_type_symbol
_atom_site_fract_x
_atom_site_fract_y
_atom_site_fract_z
_atom_site_occupancy
Rb1 Rb 0.000 0.000 0.500 1
Tc1 Tc 0.000 0.000 0.000 1
Au1 Au 0.500 0.500 0.500 1
```

For the records above, the corresponding total moment values read 0.00; 3.65; 3.69; 3.00 μB per formula unit.